(1)
# YMn2Tl | Alexandria via LeMat-Bulk | PBE | optimized geometry
data_YMn2Tl
_symmetry_space_group_name_H-M 'I -4 2 d'
_symmetry_Int_Tables_number 122
_symmetry_space_group_name_Hall 'I -4 2bw'
_cell_length_a 7.847
_cell_length_b 7.847
_cell_length_c 6.011
_cell_angle_alpha 90.00
_cell_angle_beta 90.00
_cell_angle_gamma 90.00
loop_
_atom_site_label
_atom_site_fract_x
_atom_site_fract_y
_atom_site_fract_z
_atom_site_occupancy
Y1 0.000 0.000 0.000 1
Mn1 0.226 0.750 0.625 1
Tl1 0.000 0.000 0.500 1
# offset from the most stable computed form: 0.3530 eV/atom
# formation energy: 2.338 eV/f.u.

---

(2)
# Mn4CrSe8 | Alexandria via LeMat-Bulk | PBE | optimized geometry
data_Mn4CrSe8
_symmetry_space_group_name_H-M 'R -3 m'
_symmetry_Int_Tables_number 166
_symmetry_space_group_name_Hall '-R 3 2"'
_cell_length_a 7.2316
_cell_length_b 7.2316
_cell_length_c 18.4433
_cell_angle_alpha 90.00
_cell_angle_beta 90.00
_cell_angle_gamma 120.00
loop_
_atom_site_label
_atom_site_fract_x
_atom_site_fract_y
_atom_site_fract_z
_atom_site_occupancy
Mn1 0.0000 0.0000 0.0000 1
Mn2 0.0000 0.5000 0.0000 1
Cr1 0.0000 0.0000 0.5000 1
Se1 0.0000 0.0000 0.2588 1
Se2 0.0125 0.5062 0.2542 1
# energy: -6.16 eV/atom

---

(3)
# BeCrNiOs | Alexandria via LeMat-Bulk | PBE | optimized geometry
data_BeCrNiOs
_symmetry_space_group_name_H-M 'F -4 3 m'
_symmetry_Int_Tables_number 216
_symmetry_space_group_name_Hall 'F -4 2 3'
_cell_length_a 5.692
_cell_length_b 5.692
_cell_length_c 5.692
_cell_angle_alpha 90.00
_cell_angle_beta 90.00
_cell_angle_gamma 90.00
loop_
_atom_site_label
_atom_site_fract_x
_atom_site_fract_y
_atom_site_fract_z
_atom_site_occupancy
Be1 0.000 0.000 0.000 1
Cr1 0.000 0.000 0.500 1
Ni1 0.250 0.250 0.250 1
Os1 0.250 0.250 0.750 1
# formation energy: -0.352 eV/f.u.

---

(4)
# Co2Mo | Alexandria via LeMat-Bulk | PBE | optimized geometry
data_Co2Mo
_symmetry_space_group_name_H-M 'P 63/m m c'
_symmetry_Int_Tables_number 194
_symmetry_space_group_name_Hall '-P 6c 2c'
_cell_length_a 4.6815
_cell_length_b 4.6815
_cell_length_c 15.2955
_cell_angle_alpha 90.00
_cell_angle_beta 90.00
_cell_angle_gamma 120.00
loop_
_atom_site_label
_atom_site_fract_x
_atom_site_fract_y
_atom_site_fract_z
_atom_site_occupancy
Co1 0.0000 0.5000 0.0000 1
Co2 0.1636 0.3271 0.2500 1
Co3 0.3333 0.6667 0.1260 1
Mo1 0.0000 0.0000 0.0912 1
Mo2 0.3333 0.6667 0.6557 1
# formation energy: 0.079 eV/f.u.

---

(5)
# Ba2CdAgH | Alexandria via LeMat-Bulk | PBE | optimized geometry
data_Ba2CdAgH
_symmetry_space_group_name_H-M 'P 4/m m m'
_symmetry_Int_Tables_number 123
_symmetry_space_group_name_Hall '-P 4 2'
_cell_length_a 5.634
_cell_length_b 5.634
_cell_length_c 4.546
_cell_angle_alpha 90.00
_cell_angle_beta 90.00
_cell_angle_gamma 90.00
loop_
_atom_site_label
_atom_site_fract_x
_atom_site_fract_y
_atom_site_fract_z
_atom_site_occupancy
Ba1 0.000 0.500 0.000 1
Cd1 0.000 0.000 0.500 1
Ag1 0.500 0.500 0.500 1
H1 0.000 0.000 0.000 1
# offset from the most stable computed form: 0.0261 eV/atom

---

(6)
# AlReW | Alexandria via LeMat-Bulk | PBE | optimized geometry
data_AlReW
_symmetry_space_group_name_H-M 'F -4 3 m'
_symmetry_Int_Tables_number 216
_symmetry_space_group_name_Hall 'F -4 2 3'
_cell_length_a 6.010
_cell_length_b 6.010
_cell_length_c 6.010
_cell_angle_alpha 90.00
_cell_angle_beta 90.00
_cell_angle_gamma 90.00
loop_
_atom_site_label
_atom_site_fract_x
_atom_site_fract_y
_atom_site_fract_z
_atom_site_occupancy
Al1 0.000 0.000 0.000 1
Re1 0.250 0.250 0.250 1
W1 0.000 0.000 0.500 1
# offset from the most stable computed form: 0.5161 eV/atom
# formation energy: 1.086 eV/f.u.

---

(7)
# Ni2MoHPt | Alexandria via LeMat-Bulk | PBE | optimized geometry
data_Ni2MoHPt
_symmetry_space_group_name_H-M 'P 4/m m m'
_symmetry_Int_Tables_number 123
_symmetry_space_group_name_Hall '-P 4 2'
_cell_length_a 3.816
_cell_length_b 3.816
_cell_length_c 3.821
_cell_angle_alpha 90.00
_cell_angle_beta 90.00
_cell_angle_gamma 90.00
loop_
_atom_site_label
_atom_site_fract_x
_atom_site_fract_y
_atom_site_fract_z
_atom_site_occupancy
Ni1 0.000 0.500 0.000 1
Mo1 0.000 0.000 0.500 1
H1 0.000 0.000 0.000 1
Pt1 0.500 0.500 0.500 1
# energy: -6.35 eV/atom

---

(8)
# Tm2IrO6 | Alexandria via LeMat-Bulk | PBE | optimized geometry
data_Tm2IrO6
_symmetry_space_group_name_H-M 'P 42/m n m'
_symmetry_Int_Tables_number 136
_symmetry_space_group_name_Hall '-P 4n 2n'
_cell_length_a 4.938
_cell_length_b 4.938
_cell_length_c 9.865
_cell_angle_alpha 90.00
_cell_angle_beta 90.00
_cell_angle_gamma 90.00
loop_
_atom_site_label
_atom_site_fract_x
_atom_site_fract_y
_atom_site_fract_z
_atom_site_occupancy
Tm1 0.000 0.000 0.169 1
Ir1 0.000 0.000 0.500 1
O1 0.187 0.187 0.352 1
O2 0.221 0.221 0.000 1
# energy: -7.53 eV/atom

---

(9)
# AlGa6Ag2 | Alexandria via LeMat-Bulk | PBE | optimized geometry
data_AlGa6Ag2
_symmetry_space_group_name_H-M 'P -6 m 2'
_symmetry_Int_Tables_number 187
_symmetry_space_group_name_Hall 'P -6 2'
_cell_length_a 2.9160
_cell_length_b 2.9160
_cell_length_c 22.2491
_cell_angle_alpha 90.00
_cell_angle_beta 90.00
_cell_angle_gamma 120.00
loop_
_atom_site_label
_atom_site_fract_x
_atom_site_fract_y
_atom_site_fract_z
_atom_site_occupancy
Al1 0.0000 0.0000 0.0000 1
Ga1 0.0000 0.0000 0.2196 1
Ga2 0.0000 0.0000 0.4391 1
Ga3 0.3333 0.6667 0.1099 1
Ag1 0.3333 0.6667 0.3299 1
# offset from the most stable computed form: 0.0000 eV/atom
# formation energy: 0.304 eV/f.u.

---

(10)
# CaTc2P | Alexandria via LeMat-Bulk | PBE | optimized geometry
data_CaTc2P
_symmetry_space_group_name_H-M 'R -3 m'
_symmetry_Int_Tables_number 166
_symmetry_space_group_name_Hall '-R 3 2"'
_cell_length_a 3.5554
_cell_length_b 3.5554
_cell_length_c 21.7724
_cell_angle_alpha 90.00
_cell_angle_beta 90.00
_cell_angle_gamma 120.00
loop_
_atom_site_label
_atom_site_fract_x
_atom_site_fract_y
_atom_site_fract_z
_atom_site_occupancy
Ca1 0.0000 0.0000 0.0000 1
Tc1 0.0000 0.0000 0.2146 1
P1 0.0000 0.0000 0.5000 1
# formation energy: 0.026 eV/f.u.

---

(11)
# Tl2FeNCl | Alexandria via LeMat-Bulk | PBE | optimized geometry
data_Tl2FeNCl
_symmetry_space_group_name_H-M 'P 4/m m m'
_symmetry_Int_Tables_number 123
_symmetry_space_group_name_Hall '-P 4 2'
_cell_length_a 5.792
_cell_length_b 5.792
_cell_length_c 3.546
_cell_angle_alpha 90.00
_cell_angle_beta 90.00
_cell_angle_gamma 90.00
loop_
_atom_site_label
_atom_site_fract_x
_atom_site_fract_y
_atom_site_fract_z
_atom_site_occupancy
Tl1 0.000 0.500 0.000 1
Fe1 0.000 0.000 0.500 1
N1 0.500 0.500 0.500 1
Cl1 0.500 0.500 0.000 1
# energy: -3.31 eV/atom

---

(12)
# Sr2Ca2Au3 | Alexandria via LeMat-Bulk | PBE | optimized geometry
data_Sr2Ca2Au3
_symmetry_space_group_name_H-M 'P -1'
_symmetry_Int_Tables_number 2
_cell_length_a 5.194
_cell_length_b 5.201
_cell_length_c 9.405
_cell_angle_alpha 90.06
_cell_angle_beta 105.88
_cell_angle_gamma 119.83
loop_
_symmetry_equiv_pos_as_xyz
'x,y,z'
'-x,-y,-z'
loop_
_atom_site_label
_atom_site_fract_x
_atom_site_fract_y
_atom_site_fract_z
_atom_site_occupancy
Sr1 0.245 0.123 0.368 1
Ca1 0.259 0.629 0.889 1
Au1 0.000 0.000 0.000 1
Au2 0.497 0.748 0.244 1
# formation energy: -4.650 eV/f.u.

---

What did we get for magnetization? Answer: 1.761 1.313 0.480 0.470 0.000 0.000 0.000 0.278 0.000 0.000 0.607 0.000 μB/atom, in the order shown.
What did we get for Fermi-level density of states? Answer: 37.97 16.08 6.65 39.47 3.32 14.71 6.45 8.67 4.16 12.63 4.53 5.64 states/eV/cell, in the order shown.
What did we get for volume? Answer: 23.134 21.418 11.524 12.096 28.863 18.092 11.127 13.366 18.204 19.863 23.793 29.872 Å³/atom, in the order shown.